# Sc3BeSi2

A geometry-optimized Sc3BeSi2 structure (PBE, Alexandria).

Geometry as extended XYZ:
```
24
Lattice="10.541 0.000 0.000 0.000 3.840 0.000 0.000 0.000 10.518" Properties=species:S:1:pos:R:3 pbc="T T T"
Sc 0.601 0.960 1.284
Sc 1.328 2.880 5.926
Sc 2.206 0.960 8.397
Sc 3.064 2.880 3.138
Sc 3.942 0.960 0.667
Sc 4.670 2.880 6.543
Sc 5.871 0.960 3.975
Sc 6.599 2.880 9.851
Sc 7.477 0.960 7.380
Sc 8.334 2.880 2.121
Sc 9.212 0.960 4.592
Sc 9.940 2.880 9.234
Be 1.403 0.960 3.851
Be 3.867 2.880 9.110
Be 6.673 0.960 1.408
Be 9.138 2.880 6.667
Si 0.280 2.880 3.348
Si 2.028 2.880 10.453
Si 3.243 0.960 5.194
Si 4.991 0.960 8.607
Si 5.550 2.880 1.911
Si 7.298 2.880 5.324
Si 8.513 0.960 0.065
Si 10.261 0.960 7.170
```

Its space group is Pnma, No. 62. The calculation puts the formation energy from raw total energies at -657 meV per atom. The value obtained for the magnetic moment is 0.000 μB/f.u.



# Sc2BeSi3

A geometry-optimized Sc2BeSi3 structure (PBE, Alexandria).

Geometry as extended XYZ:
```
12
Lattice="0.000 3.845 6.675 3.673 0.000 6.675 3.673 3.845 0.000" Properties=species:S:1:pos:R:3 pbc="T T T"
Sc 5.544 3.845 6.675
Sc 1.837 1.922 3.337
Sc 5.510 5.767 10.012
Sc 1.803 3.845 6.675
Be 3.673 3.845 4.446
Be 3.673 3.845 8.904
Si 3.673 3.845 2.304
Si 3.673 2.010 5.525
Si 3.673 2.010 7.825
Si 3.673 5.679 5.525
Si 3.673 5.679 7.825
Si 3.673 3.845 11.046
```

Its space group is Fmmm, No. 69. The calculation puts the formation energy from raw total energies at -575 meV per atom. The value obtained for the magnetic moment is 0.000 μB/f.u.



# ScBeSi2

A geometry-optimized ScBeSi2 structure (PBE, Alexandria).

Geometry as extended XYZ:
```
4
Lattice="1.529 0.883 7.745 -1.529 0.883 7.745 0.000 -1.765 7.745" Properties=species:S:1:pos:R:3 pbc="T T T"
Sc 0.000 0.000 0.000
Be 0.000 0.000 11.618
Si 0.000 0.000 5.521
Si 0.000 0.000 17.715
```

Its space group is R-3m, No. 166. The calculation puts the formation energy from raw total energies at 136 meV per atom. The value obtained for the magnetic moment is 0.000 μB/f.u.



# Sc2Be4Si3Tc

A geometry-optimized Sc2Be4Si3Tc structure (PBE, Alexandria).

Geometry as extended XYZ:
```
10
Lattice="3.635 0.000 0.000 0.000 3.635 0.000 0.000 0.000 10.071" Properties=species:S:1:pos:R:3 pbc="T T T"
Sc 0.000 1.817 2.438
Sc 1.817 0.000 7.634
Be 0.000 0.000 0.000
Be 0.000 1.817 6.521
Be 1.817 0.000 3.551
Be 1.817 1.817 0.000
Si 0.000 1.817 8.704
Si 1.817 0.000 1.367
Si 1.817 1.817 5.036
Tc 0.000 0.000 5.036
```

Its space group is P-4m2, No. 115. The calculation puts the formation energy from raw total energies at -369 meV per atom. The value obtained for the magnetic moment is 0.350 μB/f.u.



# TmScBe2Si2

A geometry-optimized TmScBe2Si2 structure (PBE, Alexandria).

Geometry as extended XYZ:
```
6
Lattice="3.798 0.000 0.000 -1.899 3.289 0.000 0.000 0.000 7.645" Properties=species:S:1:pos:R:3 pbc="T T T"
Tm 0.000 0.000 0.000
Sc 0.000 0.000 3.823
Be 0.000 2.193 5.645
Be 1.899 1.096 2.000
Si 0.000 2.193 1.992
Si 1.899 1.096 5.653
```

Its space group is P-3m1, No. 164. The calculation puts the formation energy from raw total energies at -628 meV per atom. The value obtained for the magnetic moment is 0.000 μB/f.u.



# YScBe2Si2

A geometry-optimized YScBe2Si2 structure (PBE, Alexandria).

Geometry as extended XYZ:
```
6
Lattice="3.816 0.000 0.000 -1.908 3.305 0.000 0.000 0.000 7.736" Properties=species:S:1:pos:R:3 pbc="T T T"
Y 0.000 0.000 0.000
Sc 0.000 0.000 3.868
Be 0.000 2.203 5.676
Be 1.908 1.102 2.060
Si 0.000 2.203 2.047
Si 1.908 1.102 5.689
```

Its space group is P-3m1, No. 164. The calculation puts the formation energy from raw total energies at -638 meV per atom. The value obtained for the magnetic moment is 0.000 μB/f.u.